# 1
First-principles (PBE) data for crystalline PrTm2Tl2Cd2 at its relaxed geometry, as listed in Alexandria via LeMat-Bulk.

## Properties
ΔE_f (eV per atom): -0.169
SG: R-3m, No. 166
Calculated volume (A^3/atom): 27.4
M_tot (μB/cell): 0.11
E_tot (eV per atom): -3.07

Cell lengths 5.042, 5.042, 9.195 Å; angles 74.09, 74.09, 60.00 degrees
Atoms (fractional coordinates):
Cd1 0.436 0.436 0.693
Cd2 0.564 0.564 0.307
Tl1 0.734 0.734 0.798
Tl2 0.266 0.266 0.202
Tm1 0.135 0.135 0.595
Tm2 0.865 0.865 0.405
Pr1 0.000 0.000 0.000

***

# 2
First-principles (PBE) data for crystalline KSO2 at its relaxed geometry, as listed in Alexandria via LeMat-Bulk.

## Properties
ΔE_f (raw) (kcal/mol of atoms): -32.5
SG: Pnma, No. 62
Calculated volume (A^3/atom): 21.6
M_tot (μB/cell): 4.00
E_tot (eV per atom): -5.19

Cell lengths 6.177, 7.146, 7.833 Å; angles 90.00, 90.00, 90.00 degrees
Atoms (fractional coordinates):
O1 0.546 0.771 0.399
O2 0.046 0.229 0.601
O3 0.546 0.729 0.899
O4 0.454 0.229 0.601
O5 0.954 0.729 0.899
O6 0.954 0.771 0.399
O7 0.046 0.271 0.101
O8 0.454 0.271 0.101
K1 0.750 0.364 0.845
K2 0.250 0.636 0.155
K3 0.250 0.864 0.655
K4 0.750 0.136 0.345
S1 0.250 0.347 0.577
S2 0.750 0.847 0.923
S3 0.250 0.153 0.077
S4 0.750 0.653 0.423

***

# 3
First-principles (PBE) data for crystalline LiAl2In2 at its relaxed geometry, as listed in Alexandria via LeMat-Bulk.

## Properties
ΔE_f (eV per atom): 0.112
SG: P4/mbm, No. 127
Calculated volume (A^3/atom): 22.6
M_tot (μB/cell): 0.00
E_tot (eV per atom): -2.86
Energy above the lowest structure with this stoichiometry (meV per atom): 42

Cell lengths 8.148, 8.148, 3.403 Å; angles 90.00, 90.00, 90.00 degrees
Atoms (fractional coordinates):
In1 0.832 0.668 0.000
In2 0.168 0.332 0.000
In3 0.668 0.168 0.000
In4 0.332 0.832 0.000
Al1 0.372 0.128 0.500
Al2 0.872 0.372 0.500
Al3 0.628 0.872 0.500
Al4 0.128 0.628 0.500
Li1 0.500 0.500 0.000
Li2 0.000 0.000 0.000